TlVCuO4 | PBE with a Hubbard U | optimized geometry

Geometry as CIF:
```
data_TlVCuO4
_cell_length_a 6.0011
_cell_length_b 6.0011
_cell_length_c 6.9533
_cell_angle_alpha 90.00
_cell_angle_beta 90.00
_cell_angle_gamma 90.00
_symmetry_space_group_name_H-M 'I -4'
_symmetry_Int_Tables_number 82
_symmetry_space_group_name_Hall 'I -4'
loop_
_atom_site_label
_atom_site_type_symbol
_atom_site_fract_x
_atom_site_fract_y
_atom_site_fract_z
Tl1 Tl 0.0000 0.0000 0.0000
V1 V 0.0000 0.5000 0.7500
Cu1 Cu 0.0000 0.0000 0.5000
O1 O 0.0995 0.2806 0.6080
```

Summary:
Raw total energy ... -6.047 eV/atom